VASP calculation (PBE with a Hubbard U) on an optimized crystal structure of Mn2FeTeO8.

a b c (Å): 4.611 4.604 5.996
angles (deg): 90.00 90.00 91.72
Site moments in Bohr magnetons follow the coordinates.
Atoms (fractional coordinates):
Mn1 0.500 0.500 0.741  3.58
Mn2 0.500 0.500 0.259  3.58
Fe1 0.000 0.000 0.500  1.16
Te1 0.000 0.000 0.000  0.04
O1 0.189 0.809 0.249  -0.06
O2 0.691 0.694 0.000  -0.05
O3 0.811 0.191 0.249  -0.06
O4 0.811 0.191 0.751  -0.06
O5 0.309 0.306 0.000  -0.05
O6 0.189 0.809 0.751  -0.06
O7 0.694 0.696 0.500  -0.10
O8 0.306 0.304 0.500  -0.10

Results
SG: P2/m (10)
E: -6.432 eV per atom